(1)
Here is a geometry-optimized HRhO structure from Alexandria via LeMat-Bulk. Energies are from GGA-PBE.

extended XYZ file:
```
6
Lattice="-1.390 1.729 5.463 1.390 -1.729 5.463 1.390 1.729 -5.463" Properties=species:S:1:pos:R:3 pbc="T T T"
H 0.000 0.469 0.000
H 0.000 2.989 0.000
Rh 1.390 0.000 1.452
Rh 0.000 1.729 4.011
O 1.390 0.000 3.611
O 0.000 1.729 1.852
```

Total DFT energy (no corrections) ... -5.069 eV/atom
Magnetic moment ... 0.000 μB per formula unit
Fermi-level density of states ... 0.582 states/eV per atom
Space group ... Immm

---

(2)
Here is a geometry-optimized HRhO structure from Alexandria via LeMat-Bulk. Energies are from GGA-PBE.

extended XYZ file:
```
3
Lattice="-1.513 1.513 3.378 1.513 -1.513 3.378 1.513 1.513 -3.378" Properties=species:S:1:pos:R:3 pbc="T T T"
H 0.000 0.000 0.000
Rh 0.000 0.000 4.791
O 0.000 0.000 1.058
```

Total DFT energy (no corrections) ... -5.213 eV/atom
Magnetic moment ... 0.299 μB per formula unit
Fermi-level density of states ... 0.632 states/eV per atom
Space group ... I4mm

---

(3)
Here is a geometry-optimized Sm2HRhO6 structure from Alexandria via LeMat-Bulk. Energies are from GGA-PBE.

extended XYZ file:
```
10
Lattice="4.826 -2.562 0.000 4.826 2.562 0.000 -2.791 0.000 4.576" Properties=species:S:1:pos:R:3 pbc="T T T"
Sm 1.711 0.000 1.017
Sm 5.151 0.000 3.559
H 4.826 0.000 0.000
Rh -1.396 0.000 2.288
O 3.778 1.228 0.845
O 0.476 0.000 2.931
O 3.083 1.228 3.731
O 3.778 -1.228 0.845
O 6.386 0.000 1.645
O 3.083 -1.228 3.731
```

Total DFT energy (no corrections) ... -6.723 eV/atom
Magnetic moment ... 1.989 μB per formula unit
Fermi-level density of states ... 0.485 states/eV per atom
Space group ... C2/m

---

(4)
Here is a geometry-optimized Sr2HRhO6 structure from Alexandria via LeMat-Bulk. Energies are from GGA-PBE.

extended XYZ file:
```
10
Lattice="4.331 -2.966 0.000 4.331 2.966 0.000 -4.173 0.000 4.609" Properties=species:S:1:pos:R:3 pbc="T T T"
Sr 1.257 0.000 1.006
Sr 3.233 0.000 3.604
H 4.331 0.000 0.000
Rh -2.086 0.000 2.305
O 1.143 1.619 3.104
O 3.346 1.619 1.506
O -0.962 0.000 4.026
O 5.452 0.000 0.584
O 1.143 -1.619 3.104
O 3.346 -1.619 1.506
```

Total DFT energy (no corrections) ... -5.666 eV/atom
Magnetic moment ... 1.751 μB per formula unit
Fermi-level density of states ... 0.515 states/eV per atom
Space group ... C2/m

---

(5)
Here is a geometry-optimized Sr3H2RhO6 structure from Alexandria via LeMat-Bulk. Energies are from GGA-PBE.

extended XYZ file:
```
12
Lattice="5.367 0.000 0.000 -2.684 4.648 0.000 0.000 0.000 6.302" Properties=species:S:1:pos:R:3 pbc="T T T"
Sr 0.000 0.000 0.000
Sr 0.000 3.099 4.147
Sr 2.684 1.549 2.155
H 0.000 3.099 1.863
H 2.684 1.549 4.438
Rh 0.000 0.000 3.151
O 0.000 1.636 1.891
O -1.267 3.830 1.891
O 1.417 0.818 4.411
O 1.267 3.830 1.891
O 3.950 0.818 4.411
O 2.684 3.012 4.411
```

Total DFT energy (no corrections) ... -5.651 eV/atom
Magnetic moment ... 1.044 μB per formula unit
Fermi-level density of states ... 0.464 states/eV per atom
Space group ... P-3m1

---

(6)
Here is a geometry-optimized HRu2O2 structure from Alexandria via LeMat-Bulk. Energies are from GGA-PBE.

extended XYZ file:
```
10
Lattice="5.428 0.000 0.000 0.000 5.428 0.000 0.000 0.000 3.675" Properties=species:S:1:pos:R:3 pbc="T T T"
H 0.000 0.000 0.000
H 2.714 2.714 0.000
Ru 1.017 1.697 0.000
Ru 1.697 4.411 0.000
Ru 3.731 1.017 0.000
Ru 4.411 3.731 0.000
O 1.012 1.702 1.838
O 1.702 4.416 1.838
O 3.726 1.012 1.838
O 4.416 3.726 1.838
```

Total DFT energy (no corrections) ... -6.742 eV/atom
Magnetic moment ... 0.000 μB per formula unit
Fermi-level density of states ... 0.525 states/eV per atom
Space group ... P4/mbm

---

(7)
Here is a geometry-optimized HRu2O2 structure from Alexandria via LeMat-Bulk. Energies are from GGA-PBE.

extended XYZ file:
```
5
Lattice="-2.068 2.068 3.053 2.068 -2.068 3.053 2.068 2.068 -3.053" Properties=species:S:1:pos:R:3 pbc="T T T"
H 0.000 0.000 0.000
Ru 0.000 0.000 1.791
Ru 0.000 0.000 4.315
O 2.068 0.000 1.527
O 0.000 2.068 1.527
```

Total DFT energy (no corrections) ... -6.329 eV/atom
Magnetic moment ... 2.454 μB per formula unit
Fermi-level density of states ... 0.742 states/eV per atom
Space group ... I4/mmm

---

(8)
Here is a geometry-optimized HRu3O structure from Alexandria via LeMat-Bulk. Energies are from GGA-PBE.

extended XYZ file:
```
5
Lattice="3.848 0.000 0.000 0.000 3.848 0.000 0.000 0.000 3.848" Properties=species:S:1:pos:R:3 pbc="T T T"
H 0.000 0.000 0.000
Ru 0.000 0.000 1.924
Ru 0.000 1.924 0.000
Ru 1.924 0.000 0.000
O 1.924 1.924 1.924
```

Total DFT energy (no corrections) ... -6.346 eV/atom
Magnetic moment ... 3.544 μB per formula unit
Fermi-level density of states ... 0.848 states/eV per atom
Space group ... Pm-3m

---

(9)
Here is a geometry-optimized HRu2SeO structure from Alexandria via LeMat-Bulk. Energies are from GGA-PBE.

extended XYZ file:
```
5
Lattice="4.459 0.000 0.000 0.000 4.459 0.000 0.000 0.000 2.853" Properties=species:S:1:pos:R:3 pbc="T T T"
H 0.000 0.000 0.000
Ru 0.000 2.230 1.426
Ru 2.230 0.000 1.426
Se 2.230 2.230 0.000
O 0.000 0.000 1.426
```

Total DFT energy (no corrections) ... -5.683 eV/atom
Magnetic moment ... 1.359 μB per formula unit
Fermi-level density of states ... 0.959 states/eV per atom
Space group ... P4/mmm

---

(10)
Here is a geometry-optimized Sr2HRuO6 structure from Alexandria via LeMat-Bulk. Energies are from GGA-PBE.

extended XYZ file:
```
10
Lattice="4.398 -3.033 0.000 4.398 3.033 0.000 -4.175 0.000 4.397" Properties=species:S:1:pos:R:3 pbc="T T T"
Sr 1.159 0.000 1.095
Sr 3.461 0.000 3.302
H 4.398 0.000 0.000
Ru -2.087 0.000 2.198
O 1.374 1.679 3.176
O 3.247 1.679 1.221
O -0.700 0.000 3.530
O 5.321 0.000 0.867
O 1.374 -1.679 3.176
O 3.247 -1.679 1.221
```

Total DFT energy (no corrections) ... -6.049 eV/atom
Magnetic moment ... 0.996 μB per formula unit
Fermi-level density of states ... 0.403 states/eV per atom
Space group ... C2/m

---

(11)
Here is a geometry-optimized TcHRuO2 structure from Alexandria via LeMat-Bulk. Energies are from GGA-PBE.

extended XYZ file:
```
5
Lattice="3.683 0.000 0.000 0.000 3.683 0.000 0.000 0.000 5.154" Properties=species:S:1:pos:R:3 pbc="T T T"
Tc 0.000 0.000 0.000
H 1.841 1.841 2.577
Ru 0.000 0.000 2.577
O 0.000 1.841 0.000
O 1.841 0.000 0.000
```

Total DFT energy (no corrections) ... -6.401 eV/atom
Magnetic moment ... 1.201 μB per formula unit
Fermi-level density of states ... 0.653 states/eV per atom
Space group ... P4/mmm

---

(12)
Here is a geometry-optimized TlHRu2O structure from Alexandria via LeMat-Bulk. Energies are from GGA-PBE.

extended XYZ file:
```
5
Lattice="3.781 0.000 0.000 0.000 3.781 0.000 0.000 0.000 4.675" Properties=species:S:1:pos:R:3 pbc="T T T"
Tl 0.000 0.000 0.000
H 1.890 1.890 2.338
Ru 0.000 1.890 2.338
Ru 1.890 0.000 2.338
O 1.890 1.890 0.000
```

Total DFT energy (no corrections) ... -5.163 eV/atom
Magnetic moment ... 3.924 μB per formula unit
Fermi-level density of states ... 0.652 states/eV per atom
Space group ... P4/mmm